(1)
Density functional theory data (PBE-GGA) for a geometry-optimized TeMoSe structure.

POSCAR file:
```
TeMoSe
1.0
2.935 -1.695 0.000
2.935 1.695 0.000
-0.007 0.000 14.554
Te Mo Se
2 2 2
direct
0.000 0.000 0.000 Te
0.658 0.658 0.268 Te
0.333 0.333 0.865 Mo
0.991 0.991 0.403 Mo
0.325 0.325 0.516 Se
0.666 0.666 0.753 Se
```

Values from the calculation:
DOS at the Fermi energy = 0.18 states/eV per atom
formation energy (no corrections) = -81 kJ/mol of formula units
offset from the most stable computed form = 173.1 meV per atom

(2)
Density functional theory data (PBE-GGA) for a geometry-optimized TeMo2Se structure.

POSCAR file:
```
TeMo2Se
1.0
-2.113 2.113 4.030
2.113 -2.113 4.030
2.113 2.113 -4.030
Te Mo Se
1 2 1
direct
0.000 0.000 0.000 Te
0.250 0.750 0.500 Mo
0.500 0.500 0.000 Mo
0.750 0.250 0.500 Se
```

Values from the calculation:
DOS at the Fermi energy = 0.82 states/eV per atom
formation energy (no corrections) = 217 kJ/mol of formula units
offset from the most stable computed form = 706.7 meV per atom

(3)
Density functional theory data (PBE-GGA) for a geometry-optimized TeMoSe2 structure.

POSCAR file:
```
TeMoSe2
1.0
6.535 0.000 0.000
0.000 3.162 0.000
-3.039 0.000 6.073
Te Mo Se
1 1 2
direct
0.000 0.000 0.000 Te
0.934 0.500 0.292 Mo
0.266 0.500 0.613 Se
0.675 0.000 0.352 Se
```

Values from the calculation:
DOS at the Fermi energy = 0.27 states/eV per atom
formation energy (no corrections) = -61 kJ/mol of formula units